# CsReHg2F (SCAN, single point on PBEsol structure)
# E_form (uncorrected), meV/atom: 811
data_CsReHg2F
_chemical_formula_sum 'Cs1 Re1 Hg2 F1'
_cell_length_a 6.9299
_cell_length_b 6.9299
_cell_length_c 5.1099
_cell_angle_alpha 90.00
_cell_angle_beta 90.00
_cell_angle_gamma 90.00
_symmetry_space_group_name_H-M 'P 1'
_symmetry_Int_Tables_number 1
loop_
_symmetry_equiv_pos_as_xyz
'x,y,z'
loop_
_atom_site_label
_atom_site_type_symbol
_atom_site_fract_x
_atom_site_fract_y
_atom_site_fract_z
Cs1 Cs 0.0000 0.0000 0.0000
Re1 Re 0.5000 0.5000 0.5000
Hg1 Hg 0.0000 0.5000 0.0000
Hg2 Hg 0.5000 0.0000 0.0000
F1 F 0.0000 0.0000 0.5000